Entry 1:
VASP calculation (PBE) on a relaxed structure of InTe2Br.

Unit cell a=3.9606 b=3.9606 c=7.6522 alpha=90.00 beta=90.00 gamma=90.00
Sites, in units of the cell vectors:
Te (0.0000, 0.0000, 0.9438)
Te (0.0000, 0.0000, 0.5562)
Br (0.5000, 0.5000, 0.2500)
In (0.5000, 0.5000, 0.7500)

density of states at the Fermi level	0.61	states/eV per atom
space group	P4/mmm (123)
energy relative to the lowest polymorph listed for this composition	0.302	eV/atom
energy	-10.78	eV for the cell shown
magnetization	0.00	μB/f.u.

Entry 2:
VASP calculation (PBE) on a relaxed structure of InTeBr2.

Unit cell a=5.7028 b=5.7029 c=3.5832 alpha=90.00 beta=90.00 gamma=90.30
Sites, in units of the cell vectors:
Te (0.0000, 0.5000, 0.5000)
Br (0.0000, 0.0000, 0.0000)
Br (0.5000, 0.5000, 0.0000)
In (0.5000, 0.0000, 0.5000)

density of states at the Fermi level	0.53	states/eV per atom
space group	Cmmm (65)
energy relative to the lowest polymorph listed for this composition	0.404	eV/atom
energy	-9.47	eV for the cell shown
magnetization	0.00	μB/f.u.

Entry 3:
VASP calculation (PBE) on a relaxed structure of InTeBr2.

Unit cell a=10.0530 b=10.0530 c=10.0530 alpha=21.90 beta=21.90 gamma=21.90
Sites, in units of the cell vectors:
Te (0.7500, 0.7500, 0.7500)
Br (0.9801, 0.9801, 0.9801)
Br (0.5199, 0.5199, 0.5199)
In (0.2500, 0.2500, 0.2500)

density of states at the Fermi level	0.80	states/eV per atom
space group	R-3m (166)
energy relative to the lowest polymorph listed for this composition	0.353	eV/atom
energy	-9.67	eV for the cell shown
magnetization	0.00	μB/f.u.

Entry 4:
VASP calculation (PBE) on a relaxed structure of InTeBr3.

Unit cell a=6.9213 b=7.8122 c=7.8135 alpha=120.00 beta=90.00 gamma=90.00
Sites, in units of the cell vectors:
In (0.0000, 0.0000, 0.0000)
In (0.5000, 0.0000, 0.0000)
Te (0.7501, 0.6667, 0.3333)
Te (0.2499, 0.3333, 0.6668)
Br (0.7500, 0.6838, 0.8418)
Br (0.2500, 0.8418, 0.6838)
Br (0.2500, 0.3162, 0.1582)
Br (0.7500, 0.1581, 0.3162)
Br (0.2500, 0.8419, 0.1581)
Br (0.7500, 0.1581, 0.8420)

density of states at the Fermi level	0.76	states/eV per atom
space group	P6_3/mmc (194)
energy relative to the lowest polymorph listed for this composition	0.104	eV/atom
energy	-23.68	eV for the cell shown
magnetization	2.00	μB/f.u.

Entry 5:
VASP calculation (PBE) on a relaxed structure of InTe2Br.

Unit cell a=4.0933 b=4.0936 c=9.0367 alpha=90.00 beta=90.00 gamma=90.00
Sites, in units of the cell vectors:
Te (0.0000, 0.0000, 0.0715)
Te (0.5000, 0.5000, 0.1707)
Br (0.0000, 0.0000, 0.5572)
In (0.5000, 0.5000, 0.7006)

density of states at the Fermi level	0.41	states/eV per atom
space group	P4mm (99)
energy relative to the lowest polymorph listed for this composition	0.090	eV/atom
energy	-11.63	eV for the cell shown
magnetization	0.00	μB/f.u.

Entry 6:
VASP calculation (PBE) on a relaxed structure of InTe2Br.

Unit cell a=5.3664 b=5.3664 c=5.3664 alpha=60.00 beta=60.00 gamma=60.00
Sites, in units of the cell vectors:
Te (0.2500, 0.2500, 0.2500)
Te (0.7500, 0.7500, 0.7500)
Br (0.0000, 0.0000, 0.0000)
In (0.5000, 0.5000, 0.5000)

density of states at the Fermi level	1.16	states/eV per atom
space group	Fm-3m (225)
energy relative to the lowest polymorph listed for this composition	0.487	eV/atom
energy	-10.04	eV for the cell shown
magnetization	0.00	μB/f.u.

Entry 7:
VASP calculation (PBE) on a relaxed structure of InTe2Br.

Unit cell a=13.8234 b=13.8234 c=13.8234 alpha=13.30 beta=13.30 gamma=13.30
Sites, in units of the cell vectors:
Te (0.9251, 0.9251, 0.9251)
Te (0.0749, 0.0749, 0.0749)
Br (0.5000, 0.5000, 0.5000)
In (0.0000, 0.0000, 0.0000)

density of states at the Fermi level	0.53	states/eV per atom
space group	R-3m (166)
energy relative to the lowest polymorph listed for this composition	0.458	eV/atom
energy	-10.16	eV for the cell shown
magnetization	0.00	μB/f.u.

Entry 8:
VASP calculation (PBE) on a relaxed structure of In2Te2Br.

Unit cell a=8.5564 b=8.5564 c=3.9215 alpha=90.00 beta=90.00 gamma=90.00
Sites, in units of the cell vectors:
Te (0.1440, 0.6440, 0.5000)
Te (0.6440, 0.8560, 0.5000)
Te (0.8560, 0.3560, 0.5000)
Te (0.3560, 0.1440, 0.5000)
Br (0.0000, 0.0000, 0.0000)
Br (0.5000, 0.5000, 0.0000)
In (0.3371, 0.8371, 0.0000)
In (0.8371, 0.6629, 0.0000)
In (0.6629, 0.1629, 0.0000)
In (0.1629, 0.3371, 0.0000)

density of states at the Fermi level	0.52	states/eV per atom
space group	P4/mbm (127)
energy relative to the lowest polymorph listed for this composition	0.115	eV/atom
energy	-29.07	eV for the cell shown
magnetization	0.00	μB/f.u.

Entry 9:
VASP calculation (PBE) on a relaxed structure of InTeBr2.

Unit cell a=8.3656 b=8.3656 c=8.3656 alpha=152.45 beta=148.56 gamma=42.29
Sites, in units of the cell vectors:
Te (0.2817, 0.7817, 0.5000)
Br (0.0076, 0.0076, 0.0000)
Br (0.7643, 0.2643, 0.5000)
In (0.4464, 0.4464, 0.0000)

density of states at the Fermi level	0.69	states/eV per atom
space group	Imm2 (44)
energy relative to the lowest polymorph listed for this composition	0.249	eV/atom
energy	-10.09	eV for the cell shown
magnetization	0.00	μB/f.u.

Entry 10:
VASP calculation (PBE) on a relaxed structure of In2Te2Br.

Unit cell a=5.7972 b=5.7973 c=8.0558 alpha=111.09 beta=111.09 gamma=90.00
Sites, in units of the cell vectors:
In (0.6967, 0.1967, 0.8935)
In (0.3033, 0.8033, 0.1065)
Te (0.7500, 0.7500, 0.0000)
Te (0.2500, 0.2500, 0.0000)
Br (0.5000, 0.0000, 0.5000)

density of states at the Fermi level	0.38	states/eV per atom
space group	I4/mmm (139)
energy relative to the lowest polymorph listed for this composition	0.000	eV/atom
energy	-15.11	eV for the cell shown
magnetization	0.00	μB/f.u.

Entry 11:
VASP calculation (PBE) on a relaxed structure of InTeBr2.

Unit cell a=10.8911 b=10.8911 c=10.8911 alpha=18.74 beta=18.74 gamma=18.74
Sites, in units of the cell vectors:
Te (0.5000, 0.5000, 0.5000)
Br (0.9094, 0.9094, 0.9094)
Br (0.0906, 0.0906, 0.0906)
In (0.0000, 0.0000, 0.0000)

density of states at the Fermi level	0.69	states/eV per atom
space group	R-3m (166)
energy relative to the lowest polymorph listed for this composition	0.534	eV/atom
energy	-8.95	eV for the cell shown
magnetization	0.00	μB/f.u.

Entry 12:
VASP calculation (PBE) on a relaxed structure of In2Te2Br.

Unit cell a=5.1620 b=5.1620 c=7.3991 alpha=69.58 beta=69.58 gamma=90.00
Sites, in units of the cell vectors:
Te (0.3634, 0.3634, 0.2731)
Te (0.6366, 0.6366, 0.7269)
Br (0.0000, 0.0000, 0.0000)
In (0.7500, 0.2500, 0.5000)
In (0.2500, 0.7500, 0.5000)

density of states at the Fermi level	0.21	states/eV per atom
space group	I4/mmm (139)
energy relative to the lowest polymorph listed for this composition	0.051	eV/atom
energy	-14.85	eV for the cell shown
magnetization	0.00	μB/f.u.

Entry 13:
VASP calculation (PBE) on a relaxed structure of TiInTeBr2.

Unit cell a=5.2007 b=5.2007 c=5.5559 alpha=90.00 beta=90.00 gamma=90.00
Sites, in units of the cell vectors:
Te (0.0000, 0.0000, 0.5000)
Ti (0.0000, 0.0000, 0.0000)
Br (0.0000, 0.5000, 0.0000)
Br (0.5000, 0.0000, 0.0000)
In (0.5000, 0.5000, 0.5000)

density of states at the Fermi level	0.56	states/eV per atom
space group	P4/mmm (123)
energy	-20.27	eV for the cell shown
magnetization	1.00	μB/f.u.

Entry 14:
VASP calculation (PBE) on a relaxed structure of Th2In5Br12.

Unit cell a=8.1979 b=9.7148 c=10.7550 alpha=91.28 beta=90.00 gamma=114.96
Sites, in units of the cell vectors:
Th (0.7302, 0.0000, 0.0000)
Th (0.2698, 0.0000, 0.0000)
In (0.2750, 0.5500, 0.6787)
In (0.2404, 0.4808, 0.3348)
In (0.0000, 0.0000, 0.5000)
In (0.7596, 0.5192, 0.6652)
In (0.7250, 0.4500, 0.3213)
Br (0.9604, 0.9209, 0.1745)
Br (0.1015, 0.6998, 0.9095)
Br (0.5984, 0.6998, 0.9095)
Br (0.1051, 0.7146, 0.5154)
Br (0.6095, 0.7146, 0.5154)
Br (0.5409, 0.0818, 0.8039)
Br (0.4591, 0.9182, 0.1961)
Br (0.8949, 0.2854, 0.4846)
Br (0.3905, 0.2854, 0.4846)
Br (0.8985, 0.3002, 0.0905)
Br (0.4016, 0.3002, 0.0905)
Br (0.0396, 0.0791, 0.8255)

space group	C2/m (12)
energy	-69.29	eV for the cell shown
magnetization	1.00	μB/f.u.

Entry 15:
VASP calculation (PBE) on a relaxed structure of ThInBr6.

Unit cell a=7.5646 b=7.5646 c=7.2101 alpha=98.26 beta=98.26 gamma=123.10
Sites, in units of the cell vectors:
Th (0.5000, 0.5000, 0.5000)
In (0.0000, 0.0000, 0.0000)
Br (0.2560, 0.2560, 0.7418)
Br (0.3999, 0.1064, 0.2525)
Br (0.7440, 0.7440, 0.2582)
Br (0.8936, 0.6001, 0.7475)
Br (0.6001, 0.8936, 0.7475)
Br (0.1064, 0.3999, 0.2525)

density of states at the Fermi level	0.39	states/eV per atom
space group	C2/m (12)
energy relative to the lowest polymorph listed for this composition	0.000	eV/atom
energy	-30.53	eV for the cell shown
magnetization	0.00	μB/f.u.

Entry 16:
VASP calculation (PBE) on a relaxed structure of ThIn3Br8.

Unit cell a=7.4054 b=7.4054 c=7.4054 alpha=90.00 beta=90.00 gamma=90.00
Sites, in units of the cell vectors:
Th (0.0000, 0.0000, 0.0000)
In (0.5000, 0.5000, 0.0000)
In (0.5000, 0.0000, 0.5000)
In (0.0000, 0.5000, 0.5000)
Br (0.2355, 0.2355, 0.7645)
Br (0.2355, 0.7645, 0.2355)
Br (0.7645, 0.2355, 0.2355)
Br (0.7645, 0.7645, 0.7645)
Br (0.7645, 0.7645, 0.2355)
Br (0.7645, 0.2355, 0.7645)
Br (0.2355, 0.7645, 0.7645)
Br (0.2355, 0.2355, 0.2355)

density of states at the Fermi level	0.52	states/eV per atom
space group	Pm-3m (221)
energy	-41.41	eV for the cell shown
magnetization	0.00	μB/f.u.

Entry 17:
VASP calculation (PBE) on a relaxed structure of Th2InBr8.

Unit cell a=5.8646 b=8.1327 c=8.1327 alpha=111.35 beta=96.31 gamma=96.31
Sites, in units of the cell vectors:
Th (0.5000, 0.6768, 0.3170)
Th (0.5000, 0.3170, 0.6768)
In (0.0003, 0.9972, 0.9972)
Br (0.4200, 0.9396, 0.6707)
Br (0.4200, 0.6707, 0.9396)
Br (0.7901, 0.6061, 0.6061)
Br (0.0000, 0.2514, 0.7424)
Br (0.0000, 0.7424, 0.2514)
Br (0.2098, 0.3876, 0.3876)
Br (0.5800, 0.3231, 0.0541)
Br (0.5800, 0.0541, 0.3231)

density of states at the Fermi level	0.78	states/eV per atom
space group	C2/m (12)
energy	-46.53	eV for the cell shown
magnetization	1.20	μB/f.u.

Entry 18:
VASP calculation (PBE) on a relaxed structure of ThIn2Br6.

Unit cell a=8.6867 b=8.6867 c=9.1708 alpha=88.18 beta=88.18 gamma=116.89
Sites, in units of the cell vectors:
Th (0.0578, 0.9422, 0.7500)
Th (0.9422, 0.0578, 0.2500)
In (0.3194, 0.6237, 0.9939)
In (0.6237, 0.3194, 0.4939)
In (0.6806, 0.3763, 0.0061)
In (0.3763, 0.6806, 0.5061)
Br (0.3070, 0.2977, 0.2570)
Br (0.6930, 0.7023, 0.7430)
Br (0.8628, 0.0896, 0.9457)
Br (0.1372, 0.9104, 0.0543)
Br (0.7023, 0.6930, 0.2430)
Br (0.9104, 0.1372, 0.5543)
Br (0.0261, 0.5808, 0.7799)
Br (0.5808, 0.0261, 0.2799)
Br (0.9739, 0.4192, 0.2201)
Br (0.0896, 0.8628, 0.4457)
Br (0.4192, 0.9739, 0.7201)
Br (0.2977, 0.3070, 0.7570)

density of states at the Fermi level	0.00	states/eV per atom
space group	C2/c (15)
energy relative to the lowest polymorph listed for this composition	0.032	eV/atom
energy	-68.39	eV for the cell shown
magnetization	0.00	μB/f.u.

Entry 19:
VASP calculation (PBE) on a relaxed structure of ThIn3Br6.

Unit cell a=7.7059 b=7.7542 c=13.6770 alpha=85.36 beta=90.00 gamma=90.00
Sites, in units of the cell vectors:
Th (0.5000, 0.5000, 0.5000)
Th (0.0000, 0.0000, 0.0000)
In (0.2228, 0.4597, 0.1908)
In (0.5000, 0.5000, 0.0000)
In (0.7772, 0.5403, 0.8092)
In (0.2772, 0.9597, 0.6908)
In (0.0000, 0.0000, 0.5000)
In (0.7228, 0.0403, 0.3092)
Br (0.8454, 0.2824, 0.0933)
Br (0.8213, 0.4017, 0.4189)
Br (0.0699, 0.2192, 0.8265)
Br (0.9301, 0.7808, 0.1735)
Br (0.1787, 0.5983, 0.5811)
Br (0.1546, 0.7176, 0.9067)
Br (0.6546, 0.7824, 0.5933)
Br (0.6787, 0.9017, 0.9189)
Br (0.4301, 0.7192, 0.3265)
Br (0.5699, 0.2808, 0.6735)
Br (0.3213, 0.0983, 0.0811)
Br (0.3454, 0.2176, 0.4067)

density of states at the Fermi level	0.09	states/eV per atom
space group	P2_1/c (14)
energy	-72.07	eV for the cell shown
magnetization	1.04	μB/f.u.

Entry 20:
VASP calculation (PBE) on a relaxed structure of ThIn6Br12.

Unit cell a=9.1742 b=9.1742 c=9.1742 alpha=99.78 beta=99.78 gamma=99.78
Sites, in units of the cell vectors:
Th (0.0000, 0.0000, 0.0000)
In (0.1466, 0.3764, 0.6071)
In (0.6236, 0.3929, 0.8534)
In (0.3929, 0.8534, 0.6236)
In (0.8534, 0.6236, 0.3929)
In (0.3764, 0.6071, 0.1466)
In (0.6071, 0.1466, 0.3764)
Br (0.3676, 0.1764, 0.5901)
Br (0.1764, 0.5901, 0.3676)
Br (0.5901, 0.3676, 0.1764)
Br (0.6325, 0.8236, 0.4099)
Br (0.8236, 0.4099, 0.6324)
Br (0.4099, 0.6324, 0.8236)
Br (0.0513, 0.8635, 0.7135)
Br (0.2865, 0.9487, 0.1365)
Br (0.1365, 0.2865, 0.9487)
Br (0.9487, 0.1365, 0.2865)
Br (0.7135, 0.0513, 0.8635)
Br (0.8635, 0.7135, 0.0513)

density of states at the Fermi level	0.45	states/eV per atom
space group	R-3 (148)
energy	-60.99	eV for the cell shown
magnetization	0.00	μB/f.u.